Entry from Alexandria via LeMat-Bulk: Rb3Np2O9 after structural relaxation (GGA-PBE).

Geometry as POSCAR:
```
Rb3Np2O9
1.0
5.610 3.239 5.031
-5.610 3.239 5.031
0.000 -6.477 5.031
Rb Np O
6 4 18
direct
0.084 0.750 0.416 Rb
0.250 0.584 0.916 Rb
0.416 0.084 0.750 Rb
0.584 0.916 0.250 Rb
0.750 0.416 0.084 Rb
0.916 0.250 0.584 Rb
0.149 0.149 0.149 Np
0.351 0.351 0.351 Np
0.649 0.649 0.649 Np
0.851 0.851 0.851 Np
0.061 0.909 0.755 O
0.091 0.245 0.939 O
0.114 0.386 0.250 O
0.245 0.939 0.091 O
0.250 0.114 0.386 O
0.255 0.409 0.561 O
0.386 0.250 0.114 O
0.409 0.561 0.255 O
0.439 0.745 0.591 O
0.561 0.255 0.409 O
0.591 0.439 0.745 O
0.614 0.750 0.886 O
0.745 0.591 0.439 O
0.750 0.886 0.614 O
0.755 0.061 0.909 O
0.886 0.614 0.750 O
0.909 0.755 0.061 O
0.939 0.091 0.245 O
```

Output
For the formation energy without anion corrections, the calculation gives -2.1177 eV per atom. As for the total magnetization: 2.12 μB/cell.


Entry from Alexandria via LeMat-Bulk: V2ReC after structural relaxation (GGA-PBE).

Geometry as POSCAR:
```
V2ReC
1.0
-3.436 3.436 2.133
3.436 -3.436 2.133
3.436 3.436 -2.133
V Re C
4 2 2
direct
0.011 0.125 0.386 V
0.375 0.989 0.114 V
0.739 0.625 0.614 V
0.875 0.261 0.886 V
0.250 0.750 0.500 Re
0.500 0.500 0.000 Re
0.000 0.000 0.000 C
0.750 0.250 0.500 C
```

Output
The formation energy is 84 meV per atom. As for the total magnetization: 0.00 μB/cell.


Entry from Alexandria via LeMat-Bulk: Tb16Pm7Dy6 after structural relaxation (GGA-PBE).

Geometry as POSCAR:
```
Tb16Pm7Dy6
1.0
0.000 7.923 7.923
7.923 0.000 7.923
7.923 7.923 0.000
Tb Pm Dy
16 7 6
direct
0.048 0.651 0.651 Tb
0.126 0.126 0.126 Tb
0.126 0.126 0.621 Tb
0.126 0.621 0.126 Tb
0.349 0.349 0.349 Tb
0.349 0.349 0.952 Tb
0.349 0.952 0.349 Tb
0.379 0.874 0.874 Tb
0.621 0.126 0.126 Tb
0.651 0.048 0.651 Tb
0.651 0.651 0.048 Tb
0.651 0.651 0.651 Tb
0.874 0.379 0.874 Tb
0.874 0.874 0.379 Tb
0.874 0.874 0.874 Tb
0.952 0.349 0.349 Tb
0.000 0.000 0.000 Pm
0.000 0.000 0.500 Pm
0.000 0.500 0.000 Pm
0.000 0.500 0.500 Pm
0.500 0.000 0.000 Pm
0.500 0.000 0.500 Pm
0.500 0.500 0.000 Pm
0.266 0.266 0.734 Dy
0.266 0.734 0.266 Dy
0.266 0.734 0.734 Dy
0.734 0.266 0.266 Dy
0.734 0.266 0.734 Dy
0.734 0.734 0.266 Dy
```

Output
The formation energy is 251 meV per atom. As for the total magnetization: 0.00 μB/cell.


Entry from Alexandria via LeMat-Bulk: Tm2GaB2Ir5 after structural relaxation (GGA-PBE).

Geometry as POSCAR:
```
Tm2GaB2Ir5
1.0
9.528 0.000 0.000
0.000 9.528 0.000
0.000 0.000 3.164
Tm Ga B Ir
4 2 4 10
direct
0.176 0.324 0.000 Tm
0.324 0.824 0.000 Tm
0.676 0.176 0.000 Tm
0.824 0.676 0.000 Tm
0.000 0.000 0.000 Ga
0.500 0.500 0.000 Ga
0.122 0.622 0.000 B
0.378 0.122 0.000 B
0.622 0.878 0.000 B
0.878 0.378 0.000 B
0.000 0.500 0.500 Ir
0.069 0.781 0.500 Ir
0.219 0.069 0.500 Ir
0.281 0.569 0.500 Ir
0.431 0.281 0.500 Ir
0.500 0.000 0.500 Ir
0.569 0.719 0.500 Ir
0.719 0.431 0.500 Ir
0.781 0.931 0.500 Ir
0.931 0.219 0.500 Ir
```

Output
The formation energy is -787 meV per atom. As for the total magnetization: 0.00 μB/cell.


Entry from Alexandria via LeMat-Bulk: Pr2ZrSn3Pt4 after structural relaxation (GGA-PBE).

Geometry as POSCAR:
```
Pr2ZrSn3Pt4
1.0
4.606 0.000 0.000
0.000 4.606 0.000
0.000 0.000 10.816
Pr Zr Sn Pt
2 1 3 4
direct
0.000 0.500 0.235 Pr
0.500 0.000 0.765 Pr
0.000 0.000 0.500 Zr
0.000 0.500 0.873 Sn
0.500 0.000 0.127 Sn
0.500 0.500 0.500 Sn
0.000 0.000 0.000 Pt
0.000 0.500 0.634 Pt
0.500 0.000 0.366 Pt
0.500 0.500 0.000 Pt
```

Output
The formation energy is -888 meV per atom. As for the total magnetization: 0.00 μB/cell.